InIrW3: optimized geometry, GGA-PBE.

a = 4.7839 Å, b = 4.7839 Å, c = 4.7839 Å
α = 90.00°, β = 90.00°, γ = 90.00°
With the nearest neighbours (Å) after each atom.
Space group Pm-3m (No. 221)
Inequivalent atoms, fractional coordinates:
In  0.0000  0.0000  0.0000 (multiplicity 1)  12 W 3.38
Ir  0.5000  0.5000  0.5000 (multiplicity 1)  6 W 2.39
W  0.0000  0.5000  0.5000 (multiplicity 3)  2 Ir 2.39

Properties
Calculated density = 13.0 Mg/m³
E above lowest polymorph = 0.0 kJ/mol of atoms
D(E_F) = 6.87 states/eV/cell
Energy relative to the elements = 1778 meV per atom